A plane-wave DFT calculation with PBE with a Hubbard U was carried out for MgCrSb2O after structural relaxation.

Lattice parameters (Å, degrees): 5.240 5.240 5.223 90.00 90.00 90.00
Fractional coordinates of all 5 atoms:
Mg  0.000  0.000  0.000
Cr  0.000  0.000  0.500
Sb  0.000  0.500  0.000
Sb  0.500  0.000  0.000
O  0.500  0.500  0.500

* E_tot: -16.97 eV/cell
* spin magnetization: 6.10 μB per cell